1.
# LaIrCl3 GGA-PBE relaxed
# N(E_F): 3.896 states/eV per atom
# formation energy without anion corrections: -0.471 eV/atom
data_LaIrCl3
_chemical_formula_sum 'La1 Ir1 Cl3'
_symmetry_space_group_name_H-M 'P m -3 m'
_symmetry_Int_Tables_number 221
_symmetry_space_group_name_Hall '-P 4 2 3'
_cell_length_a 5.5787
_cell_length_b 5.5787
_cell_length_c 5.5787
_cell_angle_alpha 90.00
_cell_angle_beta 90.00
_cell_angle_gamma 90.00
loop_
_atom_site_label
_atom_site_type_symbol
_atom_site_fract_x
_atom_site_fract_y
_atom_site_fract_z
La1 La 0.0000 0.0000 0.0000
Ir1 Ir 0.5000 0.5000 0.5000
Cl1 Cl 0.0000 0.0000 0.5000



2.
# LaIrCl3 GGA-PBE relaxed
# N(E_F): 0.899 states/eV per atom
# formation energy without anion corrections: -0.533 eV/atom
data_LaIrCl3
_chemical_formula_sum 'La1 Ir1 Cl3'
_symmetry_space_group_name_H-M 'P m -3 m'
_symmetry_Int_Tables_number 221
_symmetry_space_group_name_Hall '-P 4 2 3'
_cell_length_a 4.8573
_cell_length_b 4.8573
_cell_length_c 4.8573
_cell_angle_alpha 90.00
_cell_angle_beta 90.00
_cell_angle_gamma 90.00
loop_
_atom_site_label
_atom_site_type_symbol
_atom_site_fract_x
_atom_site_fract_y
_atom_site_fract_z
La1 La 0.0000 0.0000 0.0000
Ir1 Ir 0.5000 0.5000 0.5000
Cl1 Cl 0.0000 0.5000 0.5000



3.
# LaIrCl GGA-PBE relaxed
# N(E_F): 0.428 states/eV per atom
# formation energy without anion corrections: -0.500 eV/atom
data_LaIrCl
_chemical_formula_sum 'La1 Ir1 Cl1'
_symmetry_space_group_name_H-M 'P 3 m 1'
_symmetry_Int_Tables_number 156
_cell_length_a 3.7994
_cell_length_b 3.7994
_cell_length_c 7.0178
_cell_angle_alpha 90.00
_cell_angle_beta 90.00
_cell_angle_gamma 120.00
loop_
_symmetry_equiv_pos_as_xyz
'x,y,z'
'-y,x-y,z'
'-x+y,-x,z'
'-y,-x,z'
'-x+y,y,z'
'x,x-y,z'
loop_
_atom_site_label
_atom_site_type_symbol
_atom_site_fract_x
_atom_site_fract_y
_atom_site_fract_z
La1 La 0.0000 0.0000 0.0000
Ir1 Ir 0.6667 0.3333 0.7385
Cl1 Cl 0.3333 0.6667 0.2753



4.
# LaIr2Cl GGA-PBE relaxed
# N(E_F): 1.285 states/eV per atom
# formation energy without anion corrections: 0.072 eV/atom
data_LaIr2Cl
_chemical_formula_sum 'La1 Ir2 Cl1'
_symmetry_space_group_name_H-M 'P m m m'
_symmetry_Int_Tables_number 47
_cell_length_a 3.2496
_cell_length_b 4.9102
_cell_length_c 5.2250
_cell_angle_alpha 90.00
_cell_angle_beta 90.00
_cell_angle_gamma 90.00
loop_
_symmetry_equiv_pos_as_xyz
'x,y,z'
'-x,-y,-z'
'-x,-y,z'
'x,y,-z'
'x,-y,-z'
'-x,y,z'
'-x,y,-z'
'x,-y,z'
loop_
_atom_site_label
_atom_site_type_symbol
_atom_site_fract_x
_atom_site_fract_y
_atom_site_fract_z
La1 La 0.0000 0.0000 0.0000
Ir1 Ir 0.5000 0.5000 0.2529
Cl1 Cl 0.0000 0.0000 0.5000



5.
# LaIr2Cl GGA-PBE relaxed
# N(E_F): 1.366 states/eV per atom
# formation energy without anion corrections: -0.206 eV/atom
data_LaIr2Cl
_chemical_formula_sum 'La1 Ir2 Cl1'
_symmetry_space_group_name_H-M 'P 1 2/m 1'
_symmetry_Int_Tables_number 10
_cell_length_a 3.0508
_cell_length_b 5.6007
_cell_length_c 4.6010
_cell_angle_alpha 90.00
_cell_angle_beta 90.48
_cell_angle_gamma 90.00
loop_
_symmetry_equiv_pos_as_xyz
'x,y,z'
'-x,-y,-z'
'-x,y,-z'
'x,-y,z'
loop_
_atom_site_label
_atom_site_type_symbol
_atom_site_fract_x
_atom_site_fract_y
_atom_site_fract_z
La1 La 0.0000 0.0000 0.0000
Ir1 Ir 0.2629 0.5000 0.7495
Cl1 Cl 0.5000 0.0000 0.5000



6.
# LaIr2Cl GGA-PBE relaxed
# N(E_F): 1.536 states/eV per atom
# formation energy without anion corrections: 0.069 eV/atom
data_LaIr2Cl
_chemical_formula_sum 'La4 Ir8 Cl4'
_symmetry_space_group_name_H-M 'F -4 3 m'
_symmetry_Int_Tables_number 216
_symmetry_space_group_name_Hall 'F -4 2 3'
_cell_length_a 6.8256
_cell_length_b 6.8256
_cell_length_c 6.8256
_cell_angle_alpha 90.00
_cell_angle_beta 90.00
_cell_angle_gamma 90.00
loop_
_atom_site_label
_atom_site_type_symbol
_atom_site_fract_x
_atom_site_fract_y
_atom_site_fract_z
La1 La 0.0000 0.0000 0.0000
Ir1 Ir 0.0000 0.0000 0.5000
Ir2 Ir 0.2500 0.2500 0.7500
Cl1 Cl 0.2500 0.2500 0.2500